(1)
Computed, not measured: an optimized crystal structure of HRh2S at the PBE-GGA level of DFT.

Summary:
The calculation puts the polymorph energy (0 for the lowest one) at 144.9 kJ/mol of formula units. The value obtained for the density is 8.72 g cm⁻³. Its magnetic moment is 0.000 μB/atom. The space group is Fm-3m, No. 225. The electronic total energy is -84.6 eV for the cell shown.

Lattice parameters (Å, degrees): 5.666 5.666 5.666 90.00 90.00 90.00
Atoms (fractional coordinates):
H1 0.000 0.000 0.000
H2 0.000 0.500 0.500
H3 0.500 0.000 0.500
H4 0.500 0.500 0.000
Rh1 0.250 0.250 0.250
Rh2 0.250 0.250 0.750
Rh3 0.250 0.750 0.250
Rh4 0.250 0.750 0.750
Rh5 0.750 0.250 0.250
Rh6 0.750 0.250 0.750
Rh7 0.750 0.750 0.250
Rh8 0.750 0.750 0.750
S1 0.000 0.000 0.500
S2 0.000 0.500 0.000
S3 0.500 0.000 0.000
S4 0.500 0.500 0.500



(2)
Computed, not measured: an optimized crystal structure of HRh2S at the PBE-GGA level of DFT.

Summary:
The calculation puts the polymorph energy (0 for the lowest one) at 0.0 kJ/mol of formula units. The value obtained for the density is 7.76 g cm⁻³. Its magnetic moment is 0.000 μB/atom. The space group is I-42d, No. 122. The electronic total energy is -90.6 eV for the cell shown.

Lattice parameters (Å, degrees): 4.738 4.738 9.114 90.00 90.00 90.00
Atoms (fractional coordinates):
H1 0.000 0.000 0.000
H2 0.000 0.500 0.250
H3 0.500 0.000 0.750
H4 0.500 0.500 0.500
Rh1 0.179 0.250 0.125
Rh2 0.250 0.679 0.375
Rh3 0.250 0.821 0.875
Rh4 0.321 0.250 0.625
Rh5 0.679 0.750 0.625
Rh6 0.750 0.179 0.875
Rh7 0.750 0.321 0.375
Rh8 0.821 0.750 0.125
S1 0.000 0.000 0.500
S2 0.000 0.500 0.750
S3 0.500 0.000 0.250
S4 0.500 0.500 0.000



(3)
Computed, not measured: an optimized crystal structure of H3RhS at the PBE-GGA level of DFT.

Summary:
The calculation puts the polymorph energy (0 for the lowest one) at 0.0 kJ/mol of formula units. The value obtained for the density is 5.26 g cm⁻³. Its magnetic moment is 0.000 μB/atom. The space group is Pm-3m, No. 221. The electronic total energy is -18.4 eV for the cell shown.

Lattice parameters (Å, degrees): 3.519 3.519 3.519 90.00 90.00 90.00
Atoms (fractional coordinates):
H1 0.000 0.000 0.500
H2 0.000 0.500 0.000
H3 0.500 0.000 0.000
Rh1 0.000 0.000 0.000
S1 0.500 0.500 0.500



(4)
Computed, not measured: an optimized crystal structure of SbHRh2S at the PBE-GGA level of DFT.

Summary:
The value obtained for the density is 8.76 g cm⁻³. Its magnetic moment is 0.000 μB/atom. The space group is P4/mmm, No. 123. The electronic total energy is -25.0 eV for the cell shown.

Lattice parameters (Å, degrees): 4.213 4.213 3.850 90.00 90.00 90.00
Atoms (fractional coordinates):
Sb1 0.000 0.000 0.000
H1 0.500 0.500 0.500
Rh1 0.000 0.500 0.500
Rh2 0.500 0.000 0.500
S1 0.500 0.500 0.000



(5)
Computed, not measured: an optimized crystal structure of ScH2RhS at the PBE-GGA level of DFT.

Summary:
The value obtained for the density is 5.09 g cm⁻³. Its magnetic moment is 0.000 μB/atom. The space group is P4/mmm, No. 123. The electronic total energy is -27.9 eV for the cell shown.

Lattice parameters (Å, degrees): 3.525 3.525 4.778 90.00 90.00 90.00
Atoms (fractional coordinates):
Sc1 0.000 0.000 0.000
H1 0.000 0.500 0.500
H2 0.500 0.000 0.500
Rh1 0.500 0.500 0.500
S1 0.500 0.500 0.000



(6)
Computed, not measured: an optimized crystal structure of VHRh2S at the PBE-GGA level of DFT.

Summary:
The value obtained for the density is 5.32 g cm⁻³. Its magnetic moment is 0.000 μB/atom. The space group is P4/mmm, No. 123. The electronic total energy is -25.8 eV for the cell shown.

Lattice parameters (Å, degrees): 4.552 4.552 4.369 90.00 90.00 90.00
Atoms (fractional coordinates):
V1 0.000 0.000 0.000
H1 0.500 0.500 0.500
Rh1 0.000 0.500 0.000
Rh2 0.500 0.000 0.000
S1 0.000 0.000 0.500